First-principles (GGA-PBEsol) data for TeSe2 after structural relaxation, as listed in the Alexandria database.

Unit cell a=7.151 b=4.051 c=5.419 alpha=90.00 beta=91.29 gamma=90.00
Space group C2 (No. 5)
One atom of each set of equivalent atoms:
Te1 0.000 0.000 0.000 x2
Se1 0.127 0.423 0.663 x4

Properties
For the energy above the most stable polymorph in this dataset, the calculation gives 8 meV/atom. The value obtained for the volume is 26.157 A^3/atom. The calculation puts the raw formation energy at -0.022 eV per atom. Its total energy is -3.76 eV/atom. The calculation puts the magnetization at 0.000 μB per formula unit.